Entry 1:
First-principles (GGA-PBE) data for crystalline LaTbRuPt at its relaxed geometry, as listed in the Alexandria database.

Properties
Density (g/cm³): 11.13
Total energy (eV per atom): -6.855
Fermi-level density of states (states/eV/atom): 0.86
Space-group type: No. 216
E_form (meV/atom): -637
V (Å³/cell): 89

abc: 5.004 5.004 5.004
angles: 60.00 60.00 60.00
Element x y z (fractional)
Pt  0.750  0.750  0.750
Tb  0.000  0.000  0.000
La  0.500  0.500  0.500
Ru  0.250  0.250  0.250


Entry 2:
First-principles (GGA-PBE) data for crystalline TlTcAu2 at its relaxed geometry, as listed in the Alexandria database.

Properties
Density (g/cm³): 15.25
Total energy (eV per atom): -4.336
Fermi-level density of states (states/eV/atom): 0.55
Space-group type: No. 6
E_form (meV/atom): 486
V (Å³/cell): 76
Relative energy among the computed polymorphs (meV per atom): 82

abc: 4.067 3.018 6.596
angles: 69.49 90.00 90.00
Each line ends with the local moment (μB).
Element x y z (fractional)
Tl  0.500  0.820  0.731  -0.02
Au  0.500  0.226  0.255  0.06
Au  0.000  0.914  0.024  0.01
Tc  0.000  0.540  0.490  1.68


Entry 3:
First-principles (GGA-PBE) data for crystalline Rb12Tl at its relaxed geometry, as listed in the Alexandria database.

Properties
Density (g/cm³): 1.93
Total energy (eV per atom): -1.047
Fermi-level density of states (states/eV/atom): 1.07
Space-group type: No. 204
E_form (meV/atom): 28
V (Å³/cell): 1056

abc: 11.110 11.110 11.110
angles: 109.47 109.47 109.47
Element x y z (fractional)
Rb  0.302  0.476  0.173
Rb  0.302  0.129  0.827
Rb  0.524  0.827  0.698
Rb  0.871  0.173  0.698
Rb  0.698  0.871  0.173
Rb  0.476  0.173  0.302
Rb  0.827  0.302  0.129
Rb  0.827  0.698  0.524
Rb  0.129  0.827  0.302
Rb  0.173  0.698  0.871
Rb  0.698  0.524  0.827
Rb  0.173  0.302  0.476
Tl  0.000  0.000  0.000


Entry 4:
First-principles (GGA-PBE) data for crystalline PuTl5Se5 at its relaxed geometry, as listed in the Alexandria database.

Properties
Density (g/cm³): 7.56
Total energy (eV per atom): -4.521
Fermi-level density of states (states/eV/atom): 1.00
Space-group type: No. 12
V (Å³/cell): 365
Formation energy (no corrections) (eV/atom): -0.559

abc: 6.126 7.769 9.010
angles: 110.40 90.00 113.22
Each line ends with the local moment (μB).
Element x y z (fractional)
Se  0.144  0.287  0.305  -0.19
Se  0.500  0.000  0.000  -0.14
Se  0.154  0.307  0.882  -0.16
Se  0.856  0.713  0.695  -0.19
Se  0.846  0.693  0.118  -0.16
Tl  0.655  0.309  0.807  -0.03
Tl  0.305  0.610  0.694  -0.04
Tl  0.345  0.691  0.193  -0.03
Tl  0.695  0.390  0.306  -0.04
Tl  0.000  0.000  0.500  -0.02
Pu  0.000  0.000  0.000  4.56


Question: The lowest total energy belongs to which entry?
Answer: LaTbRuPt